The following is a PBEsol calculation of a relaxed BaIr2Ru crystal, from the Alexandria database.

Properties
Crystal system: tetragonal
Relative energy among the computed polymorphs in eV/atom: 0.280
Calculated density in g/cm3: 14.3

Lattice parameters (Å, degrees): 4.0623 4.0623 4.3715 90.00 90.00 90.00
Last column: magnetic moment on the atom in μB.
Element x y z (fractional)
Ir  0.0000  0.5000  0.0000  0.03
Ir  0.5000  0.0000  0.0000  0.03
Ru  0.5000  0.5000  0.5000  0.57
Ba  0.0000  0.0000  0.5000  0.02

The following is a PBEsol calculation of a relaxed BaIr2Ru crystal, from the Alexandria database.

Properties
Crystal system: orthorhombic
Relative energy among the computed polymorphs in eV/atom: 0.145
Calculated density in g/cm3: 14.5

Lattice parameters (Å, degrees): 2.8776 5.1773 5.1773 112.00 90.00 90.00
Last column: magnetic moment on the atom in μB.
Element x y z (fractional)
Ir  0.0000  0.0000  0.5000  0.00
Ir  0.0000  0.5000  0.0000  0.00
Ru  0.5000  0.0000  0.0000  0.23
Ba  0.5000  0.5000  0.5000  0.01

The following is a PBEsol calculation of a relaxed BaIr2Ru crystal, from the Alexandria database.

Properties
Crystal system: orthorhombic
Relative energy among the computed polymorphs in eV/atom: 0.000
Calculated density in g/cm3: 13.9

Lattice parameters (Å, degrees): 2.8634 5.1343 5.8571 115.99 104.15 90.00
Element x y z (fractional)
Ba  0.7511  0.2511  0.5021
Ir  0.2470  0.7470  0.4940
Ir  0.9690  0.9690  0.9380
Ru  0.5330  0.5330  0.0659

The following is a PBEsol calculation of a relaxed BaIr2Ru crystal, from the Alexandria database.

Properties
Crystal system: tetragonal
Relative energy among the computed polymorphs in eV/atom: 0.282
Calculated density in g/cm3: 14.4

Lattice parameters (Å, degrees): 4.1962 4.1962 5.0482 114.56 114.56 90.00
Last column: magnetic moment on the atom in μB.
Element x y z (fractional)
Ir  0.7500  0.2500  0.5000  0.07
Ir  0.2500  0.7500  0.5000  0.07
Ba  0.0000  0.0000  0.0000  0.02
Ru  0.5000  0.5000  0.0000  0.49

The following is a PBEsol calculation of a relaxed BaIr2Ru crystal, from the Alexandria database.

Properties
Crystal system: cubic
Relative energy among the computed polymorphs in eV/atom: 0.381
Calculated density in g/cm3: 13.8

Lattice parameters (Å, degrees): 4.7281 4.7281 4.7281 60.00 60.00 60.00
Last column: magnetic moment on the atom in μB.
Element x y z (fractional)
Ba  0.0000  0.0000  0.0000  0.00
Ir  0.2500  0.2500  0.2500  0.78
Ir  0.7500  0.7500  0.7500  0.78
Ru  0.5000  0.5000  0.5000  1.64

The following is a PBEsol calculation of a relaxed BaSb2Ir crystal, from the Alexandria database.

Properties
Formation energy from raw total energies in kJ per mole of atoms: -23
Crystal system: orthorhombic
Calculated density in g/cm3: 8.8

Lattice parameters (Å, degrees): 3.6109 3.8691 8.1574 103.72 102.79 90.00
Element x y z (fractional)
Ir  0.2926  0.7926  0.5853
Ba  0.5566  0.5566  0.1132
Sb  0.9146  0.9146  0.8292
Sb  0.7362  0.2362  0.4723

The following is a PBEsol calculation of a relaxed BaSb2Ir crystal, from the Alexandria database.

Properties
Formation energy from raw total energies in kJ per mole of atoms: -14
Crystal system: tetragonal
Calculated density in g/cm3: 9.1

Lattice parameters (Å, degrees): 3.6868 3.6868 7.6806 90.00 90.00 90.00
Element x y z (fractional)
Sb  0.5000  0.5000  0.1989
Sb  0.0000  0.0000  0.9445
Ba  0.0000  0.0000  0.5112
Ir  0.5000  0.5000  0.8454

The following is a PBEsol calculation of a relaxed BaSbIr2 crystal, from the Alexandria database.

Properties
Formation energy from raw total energies in kJ per mole of atoms: 13
Crystal system: orthorhombic
Calculated density in g/cm3: 12.2

Lattice parameters (Å, degrees): 3.0138 3.9304 7.3975 90.00 90.00 90.00
Element x y z (fractional)
Ir  0.0000  0.0000  0.0685
Ir  0.5000  0.5000  0.2267
Sb  0.0000  0.0000  0.4203
Ba  0.5000  0.5000  0.7845

The following is a PBEsol calculation of a relaxed BaSb2Ir crystal, from the Alexandria database.

Properties
Formation energy from raw total energies in kJ per mole of atoms: -57
Crystal system: trigonal
Calculated density in g/cm3: 8.7

Lattice parameters (Å, degrees): 4.3164 4.3164 7.2171 72.60 72.60 60.00
Element x y z (fractional)
Ir  0.3325  0.3325  0.0025
Sb  0.9524  0.9524  0.1427
Sb  0.7219  0.7219  0.8343
Ba  0.5096  0.5096  0.4713

The following is a PBEsol calculation of a relaxed BaSb2Ir crystal, from the Alexandria database.

Properties
Formation energy from raw total energies in kJ per mole of atoms: -57
Crystal system: trigonal
Calculated density in g/cm3: 8.9

Lattice parameters (Å, degrees): 4.3749 4.3749 6.9159 71.56 71.56 60.00
Element x y z (fractional)
Ir  0.0000  0.0000  0.0000
Sb  0.2819  0.2819  0.1542
Sb  0.7181  0.7181  0.8458
Ba  0.5000  0.5000  0.5000

The following is a PBEsol calculation of a relaxed BaSb2Ir crystal, from the Alexandria database.

Properties
Formation energy from raw total energies in kJ per mole of atoms: -15
Crystal system: tetragonal
Calculated density in g/cm3: 9.8

Lattice parameters (Å, degrees): 3.4289 3.4289 8.2279 90.00 90.00 90.02
Element x y z (fractional)
Ir  0.5000  0.5000  0.0000
Sb  0.0000  0.0000  0.1852
Sb  0.0000  0.0000  0.8148
Ba  0.5000  0.5000  0.5000

The following is a PBEsol calculation of a relaxed BaScIr crystal, from the Alexandria database.

Properties
Crystal system: tetragonal
Final energy in eV/atom: -6.43
Calculated density in g/cm3: 7.9

Lattice parameters (Å, degrees): 3.4111 3.4111 7.1878 103.73 103.73 90.00
Element x y z (fractional)
Sc  0.2795  0.2795  0.5590
Ba  0.0277  0.0277  0.0554
Ir  0.6928  0.6928  0.3855

The following is a PBEsol calculation of a relaxed Ba2ScIr crystal, from the Alexandria database.

Properties
Crystal system: trigonal
Final energy in eV/atom: -5.36
Calculated density in g/cm3: 5.6

Lattice parameters (Å, degrees): 4.4165 4.4165 9.2839 76.24 76.24 60.00
Element x y z (fractional)
Sc  0.2081  0.2081  0.3756
Ba  0.7840  0.7840  0.6481
Ba  0.9659  0.9659  0.1023
Ir  0.5420  0.5420  0.3739

The following is a PBEsol calculation of a relaxed BaSc3Ir crystal, from the Alexandria database.

Properties
Crystal system: cubic
Final energy in eV/atom: -4.74
Calculated density in g/cm3: 6.2

Lattice parameters (Å, degrees): 4.9884 4.9884 4.9884 90.00 90.00 90.00
Element x y z (fractional)
Sc  0.0000  0.5000  0.0000
Sc  0.5000  0.0000  0.0000
Sc  0.0000  0.0000  0.5000
Ba  0.0000  0.0000  0.0000
Ir  0.5000  0.5000  0.5000

The following is a PBEsol calculation of a relaxed BaSc2Ir crystal, from the Alexandria database.

Properties
Crystal system: tetragonal
Relative energy among the computed polymorphs in eV/atom: 0.539
Calculated density in g/cm3: 7.7

Lattice parameters (Å, degrees): 4.3739 4.3739 4.7544 90.00 90.00 90.00
Element x y z (fractional)
Sc  0.5000  0.0000  0.0000
Sc  0.0000  0.5000  0.0000
Ba  0.5000  0.5000  0.5000
Ir  0.0000  0.0000  0.5000

The following is a PBEsol calculation of a relaxed BaSc2Ir crystal, from the Alexandria database.

Properties
Crystal system: trigonal
Relative energy among the computed polymorphs in eV/atom: 0.000
Calculated density in g/cm3: 6.1

Lattice parameters (Å, degrees): 4.0880 4.0880 8.2805 75.71 75.71 60.00
Element x y z (fractional)
Sc  0.7872  0.7872  0.6384
Sc  0.2128  0.2128  0.3616
Ba  0.0000  0.0000  0.0000
Ir  0.5000  0.5000  0.5000

The following is a PBEsol calculation of a relaxed BaIr2Se crystal, from the Alexandria database.

Properties
Formation energy from raw total energies in kJ per mole of atoms: 68
Crystal system: tetragonal
Calculated density in g/cm3: 12.5

Lattice parameters (Å, degrees): 4.2136 4.2136 5.3949 112.99 112.99 90.00
Element x y z (fractional)
Ba  0.2500  0.7500  0.5000
Se  0.5000  0.5000  0.0000
Ir  0.7500  0.2500  0.5000
Ir  0.0000  0.0000  0.0000

The following is a PBEsol calculation of a relaxed BaIrSe2 crystal, from the Alexandria database.

Properties
Formation energy from raw total energies in kJ per mole of atoms: 30
Crystal system: cubic
Calculated density in g/cm3: 9.0

Lattice parameters (Å, degrees): 5.0216 5.0216 5.0216 60.00 60.00 60.00
Element x y z (fractional)
Se  0.7500  0.7500  0.7500
Se  0.0000  0.0000  0.0000
Ir  0.2500  0.2500  0.2500
Ba  0.5000  0.5000  0.5000

The following is a PBEsol calculation of a relaxed BaIr2Se crystal, from the Alexandria database.

Properties
Formation energy from raw total energies in kJ per mole of atoms: 11
Crystal system: orthorhombic
Calculated density in g/cm3: 10.4

Lattice parameters (Å, degrees): 3.7587 5.5814 5.5814 63.53 70.32 70.32
Element x y z (fractional)
Ir  0.7497  0.7503  0.7503
Ir  0.0775  0.9225  0.9225
Se  0.4330  0.5670  0.5670
Ba  0.2399  0.2601  0.2601

The following is a PBEsol calculation of a relaxed BaIrSe crystal, from the Alexandria database.

Properties
Formation energy from raw total energies in kJ per mole of atoms: 81
Crystal system: cubic
Calculated density in g/cm3: 7.5

Lattice parameters (Å, degrees): 5.0275 5.0275 5.0275 60.00 60.00 60.00
Last column: magnetic moment on the atom in μB.
Element x y z (fractional)
Se  0.5000  0.5000  0.5000  0.03
Ba  0.2500  0.2500  0.2500  0.00
Ir  0.0000  0.0000  0.0000  0.20

The following is a PBEsol calculation of a relaxed BaIr2Se crystal, from the Alexandria database.

Properties
Formation energy from raw total energies in kJ per mole of atoms: 51
Crystal system: orthorhombic
Calculated density in g/cm3: 12.7

Lattice parameters (Å, degrees): 2.9974 5.1163 5.1163 90.00 90.00 90.00
Element x y z (fractional)
Ir  0.5000  0.5000  0.0000
Ir  0.0000  0.0000  0.0000
Se  0.5000  0.0000  0.5000
Ba  0.0000  0.5000  0.5000

The following is a PBEsol calculation of a relaxed BaSi2Ir crystal, from the Alexandria database.

Properties
Formation energy from raw total energies in kJ per mole of atoms: -64
Crystal system: trigonal
Calculated density in g/cm3: 7.5

Lattice parameters (Å, degrees): 4.0869 4.0869 6.3380 71.19 71.19 60.00
Element x y z (fractional)
Ba  0.5000  0.5000  0.5000
Si  0.7033  0.7033  0.8902
Si  0.2967  0.2967  0.1098
Ir  0.0000  0.0000  0.0000

The following is a PBEsol calculation of a relaxed BaSi3Ir crystal, from the Alexandria database.

Properties
Formation energy from raw total energies in kJ per mole of atoms: 10
Crystal system: cubic
Calculated density in g/cm3: 6.3

Lattice parameters (Å, degrees): 4.7838 4.7838 4.7838 90.00 90.00 90.00
Element x y z (fractional)
Si  0.5000  0.0000  0.0000
Si  0.0000  0.5000  0.0000
Si  0.0000  0.0000  0.5000
Ir  0.0000  0.0000  0.0000
Ba  0.5000  0.5000  0.5000

The following is a PBEsol calculation of a relaxed Ba3SiIr crystal, from the Alexandria database.

Properties
Formation energy from raw total energies in kJ per mole of atoms: 73
Crystal system: cubic
Calculated density in g/cm3: 4.9

Lattice parameters (Å, degrees): 5.9696 5.9696 5.9696 90.00 90.00 90.00
Last column: magnetic moment on the atom in μB.
Element x y z (fractional)
Ir  0.5000  0.5000  0.5000  0.25
Ba  0.0000  0.0000  0.5000  -0.01
Ba  0.0000  0.5000  0.0000  -0.01
Ba  0.5000  0.0000  0.0000  -0.01
Si  0.0000  0.0000  0.0000  0.00

The following is a PBEsol calculation of a relaxed BaSiIr2 crystal, from the Alexandria database.

Properties
Formation energy from raw total energies in kJ per mole of atoms: -15
Crystal system: tetragonal
Calculated density in g/cm3: 9.1

Lattice parameters (Å, degrees): 5.0283 5.0283 8.6969 106.80 106.80 90.00
Element x y z (fractional)
Ir  0.6250  0.8750  0.2500
Ir  0.6250  0.3750  0.7500
Ir  0.1250  0.3750  0.7500
Ir  0.6250  0.3750  0.2500
Ba  0.2500  0.7500  0.5000
Ba  0.0000  0.0000  0.0000
Si  0.7500  0.2500  0.5000
Si  0.5000  0.5000  0.0000

The following is a PBEsol calculation of a relaxed BaSi2Ir crystal, from the Alexandria database.

Properties
Formation energy from raw total energies in kJ per mole of atoms: 7
Crystal system: orthorhombic
Calculated density in g/cm3: 6.5

Lattice parameters (Å, degrees): 4.3023 5.2762 5.2762 72.42 65.94 65.94
Element x y z (fractional)
Si  0.6698  0.8302  0.8302
Si  0.9771  0.0229  0.0229
Ir  0.3582  0.1418  0.1418
Ba  0.4949  0.5051  0.5051

The following is a PBEsol calculation of a relaxed BaSiIr2 crystal, from the Alexandria database.

Properties
Formation energy from raw total energies in kJ per mole of atoms: 36
Crystal system: orthorhombic
Calculated density in g/cm3: 11.7

Lattice parameters (Å, degrees): 2.9125 5.3227 5.8899 116.86 104.31 90.00
Element x y z (fractional)
Ba  0.2408  0.7408  0.4817
Ir  0.0403  0.0403  0.0807
Ir  0.7644  0.2644  0.5288
Si  0.4544  0.4544  0.9088

The following is a PBEsol calculation of a relaxed Ba2SiIr crystal, from the Alexandria database.

Properties
Formation energy from raw total energies in kJ per mole of atoms: -45
Crystal system: monoclinic
Calculated density in g/cm3: 6.1

Lattice parameters (Å, degrees): 4.2027 4.2035 9.1820 102.88 90.00 119.99
Element x y z (fractional)
Ir  0.4583  0.9167  0.3749
Ba  0.2063  0.4127  0.6266
Ba  0.0436  0.0872  0.1234
Si  0.7917  0.5835  0.3751

The following is a PBEsol calculation of a relaxed BaSiIr2 crystal, from the Alexandria database.

Properties
Formation energy from raw total energies in kJ per mole of atoms: -30
Crystal system: trigonal
Calculated density in g/cm3: 10.2

Lattice parameters (Å, degrees): 4.2728 4.2728 6.1910 69.81 69.81 60.00
Element x y z (fractional)
Ir  0.2528  0.2528  0.2417
Ir  0.9397  0.9397  0.1808
Ba  0.7480  0.7480  0.7560
Si  0.5510  0.5510  0.3471